1.
Here is crystalline RbEr5Te8 at its relaxed geometry from Alexandria via LeMat-Bulk. Energies are from PBE.

Properties
spin magnetization = 0.00 Bohr magnetons per cell
ΔE_f (raw) = -1.3809 eV/atom

The structure in POSCAR format:
```
RbEr5Te8
1.0
11.253 -2.186 0.000
11.253 2.186 0.000
-2.668 0.000 10.407
Rb Er Te
1 5 8
Cartesian
0.000 0.000 0.000
2.250 0.000 4.854
2.365 0.000 8.780
9.925 0.000 5.197
17.485 0.000 1.610
17.603 0.000 5.538
-0.043 0.000 6.877
5.062 0.000 3.600
7.548 0.000 0.021
7.574 0.000 7.189
12.276 0.000 3.205
12.302 0.000 10.370
14.791 0.000 6.792
19.894 0.000 3.514
```

=====

2.
Here is crystalline RbEr6Te8 at its relaxed geometry from Alexandria via LeMat-Bulk. Energies are from PBE.

Properties
spin magnetization = 0.28 Bohr magnetons per cell
ΔE_f (raw) = -1.2310 eV/atom

The structure in POSCAR format:
```
RbEr6Te8
1.0
5.986 3.456 4.770
-5.986 3.456 4.770
0.000 -6.912 4.770
Rb Er Te
1 6 8
Cartesian
0.000 0.000 0.000
-2.175 -0.101 5.580
1.174 -1.833 5.580
-1.000 -1.934 8.729
1.000 1.934 5.580
-1.174 1.833 8.729
2.175 0.101 8.729
-1.573 -3.139 5.961
0.000 0.000 3.559
-3.505 -0.207 8.349
-1.932 2.932 5.961
1.932 -2.932 8.349
3.505 0.207 5.961
0.000 0.000 10.751
1.573 3.139 8.349
```

=====

3.
Here is crystalline RbErTe2 at its relaxed geometry from Alexandria via LeMat-Bulk. Energies are from PBE.

Properties
spin magnetization = 0.00 Bohr magnetons per cell
ΔE_f (raw) = -1.3510 eV/atom

The structure in POSCAR format:
```
RbErTe2
1.0
4.475 0.000 0.000
-2.237 3.875 0.000
0.000 0.000 8.716
Rb Er Te
1 1 2
Cartesian
0.000 0.000 0.000
0.000 0.000 4.358
0.000 2.583 6.070
2.237 1.292 2.646
```

=====

4.
Here is crystalline Rb2ErTe6 at its relaxed geometry from Alexandria via LeMat-Bulk. Energies are from PBE.

Properties
spin magnetization = 0.00 Bohr magnetons per cell
ΔE_f (raw) = -0.6648 eV/atom

The structure in POSCAR format:
```
Rb2ErTe6
1.0
8.282 -4.550 0.000
8.282 4.550 0.000
-0.788 0.000 5.027
Rb Er Te
2 1 6
Cartesian
2.491 0.000 2.062
13.286 0.000 2.965
8.282 0.000 0.000
5.597 1.603 0.574
7.888 1.880 2.513
10.180 1.603 4.453
5.597 -1.603 0.574
7.888 -1.880 2.513
10.180 -1.603 4.453
```

=====

5.
Here is crystalline RbErTe at its relaxed geometry from Alexandria via LeMat-Bulk. Energies are from PBE.

Properties
spin magnetization = 2.34 Bohr magnetons per cell
ΔE_f (raw) = -0.7066 eV/atom

The structure in POSCAR format:
```
RbErTe
1.0
4.722 0.000 0.000
0.000 4.722 0.000
0.000 0.000 12.024
Rb Er Te
2 2 2
Cartesian
1.180 1.180 2.234
3.541 3.541 9.790
1.180 3.541 6.012
3.541 1.180 6.012
1.180 1.180 8.098
3.541 3.541 3.926
```

=====

6.
Here is crystalline Rb3ErTe3 at its relaxed geometry from Alexandria via LeMat-Bulk. Energies are from PBE.

Properties
spin magnetization = 0.00 Bohr magnetons per cell
ΔE_f (raw) = -1.1738 eV/atom

The structure in POSCAR format:
```
Rb3ErTe3
1.0
5.051 -7.771 0.000
5.051 7.771 0.000
-1.659 0.000 8.808
Rb Er Te
6 2 6
Cartesian
5.051 5.020 0.000
4.222 3.960 4.404
3.714 0.000 1.202
4.729 0.000 7.606
4.222 -3.960 4.404
5.051 -5.020 0.000
0.720 0.000 5.665
7.724 0.000 3.143
0.536 0.000 2.700
1.840 2.359 6.848
1.840 -2.359 6.848
6.603 2.359 1.960
6.603 -2.359 1.960
7.908 0.000 6.108
```

=====

7.
Here is crystalline Rb3Er2ThTe6 at its relaxed geometry from Alexandria via LeMat-Bulk. Energies are from PBE.

Properties
spin magnetization = 0.00 Bohr magnetons per cell
ΔE_f (raw) = -1.2906 eV/atom

The structure in POSCAR format:
```
Rb3Er2ThTe6
1.0
3.898 -6.751 0.000
3.898 6.751 0.000
-2.602 0.000 8.618
Rb Er Th Te
3 2 1 6
Cartesian
0.000 0.000 0.000
3.898 2.227 0.000
3.898 -2.227 0.000
2.597 4.498 4.309
2.597 -4.498 4.309
2.597 0.000 4.309
1.274 2.290 2.566
-0.050 0.000 6.046
1.274 -2.290 2.566
3.919 2.290 6.052
5.243 0.000 2.572
3.919 -2.290 6.052
```

=====

8.
Here is crystalline Rb3ErTh3Te8 at its relaxed geometry from Alexandria via LeMat-Bulk. Energies are from PBE.

Properties
spin magnetization = 0.00 Bohr magnetons per cell
ΔE_f (raw) = -1.2307 eV/atom

The structure in POSCAR format:
```
Rb3ErTh3Te8
1.0
4.469 2.580 8.901
-4.469 2.580 8.901
0.000 -5.161 8.901
Rb Er Th Te
3 1 3 8
Cartesian
-2.235 -1.290 8.901
-2.235 1.290 17.801
0.000 2.580 8.901
0.000 0.000 13.351
-4.469 0.000 13.351
-2.235 1.290 4.450
2.235 1.290 4.450
0.000 0.000 6.329
-2.198 -1.269 15.148
0.000 -2.538 11.554
-2.198 1.269 11.554
2.198 -1.269 15.148
0.000 2.538 15.148
2.198 1.269 11.554
0.000 0.000 20.373
```

=====

9.
Here is crystalline Rb4ErTh3Te8 at its relaxed geometry from Alexandria via LeMat-Bulk. Energies are from PBE.

Properties
spin magnetization = 0.00 Bohr magnetons per cell
ΔE_f (raw) = -1.2053 eV/atom

The structure in POSCAR format:
```
Rb4ErTh3Te8
1.0
4.499 2.598 8.750
-4.499 2.598 8.750
0.000 -5.195 8.750
Rb Er Th Te
4 1 3 8
Cartesian
0.000 0.000 0.000
-2.250 -1.299 8.750
-2.250 1.299 17.499
0.000 2.598 8.750
0.000 0.000 13.124
-4.499 0.000 13.124
-2.250 1.299 4.375
2.250 1.299 4.375
0.000 0.000 6.233
-2.199 -1.270 14.927
0.000 -2.539 11.322
-2.199 1.270 11.322
2.199 -1.270 14.927
0.000 2.539 14.927
2.199 1.270 11.322
0.000 0.000 20.015
```

=====

10.
Here is crystalline Rb3ErTh2Te6 at its relaxed geometry from Alexandria via LeMat-Bulk. Energies are from PBE.

Properties
spin magnetization = 0.00 Bohr magnetons per cell
ΔE_f (raw) = -1.2200 eV/atom

The structure in POSCAR format:
```
Rb3ErTh2Te6
1.0
3.900 -6.752 0.000
3.900 6.752 0.000
-2.600 0.000 8.710
Rb Er Th Te
3 1 2 6
Cartesian
0.000 0.000 0.000
3.900 2.285 0.000
3.900 -2.285 0.000
2.600 0.000 4.355
2.600 4.509 4.355
2.600 -4.509 4.355
1.330 2.203 2.561
0.061 0.000 6.161
1.330 -2.203 2.561
3.870 2.203 6.149
5.139 0.000 2.549
3.870 -2.203 6.149
```

=====

11.
Here is crystalline Rb3Er2TiTe6 at its relaxed geometry from Alexandria via LeMat-Bulk. Energies are from PBE.

Properties
spin magnetization = 1.00 Bohr magnetons per cell
ΔE_f (raw) = -1.1575 eV/atom

The structure in POSCAR format:
```
Rb3Er2TiTe6
1.0
3.817 -6.611 0.000
3.817 6.611 0.000
-2.552 0.000 8.511
Rb Er Ti Te
3 2 1 6
Cartesian
0.000 0.000 0.000
3.817 2.273 0.000
3.817 -2.273 0.000
2.541 4.417 4.256
2.541 -4.417 4.256
2.541 0.000 4.256
1.335 2.093 2.624
0.127 0.000 5.905
1.335 -2.093 2.624
3.746 2.093 5.887
4.955 0.000 2.606
3.746 -2.093 5.887
```

=====

12.
Here is crystalline Rb3Er3TmTe8 at its relaxed geometry from Alexandria via LeMat-Bulk. Energies are from PBE.

Properties
spin magnetization = 0.00 Bohr magnetons per cell
ΔE_f (raw) = -1.3017 eV/atom

The structure in POSCAR format:
```
Rb3Er3TmTe8
1.0
7.569 -4.373 0.000
7.569 4.373 0.000
-5.042 0.000 8.847
Rb Er Tm Te
3 3 1 8
Cartesian
0.000 0.000 0.000
3.784 2.187 0.000
3.784 -2.187 0.000
1.263 2.187 4.424
1.263 -2.187 4.424
5.048 0.000 4.424
-2.521 0.000 4.424
0.010 0.000 6.173
3.782 2.178 6.173
2.525 0.000 2.666
6.313 2.178 2.675
3.782 -2.178 6.173
7.570 0.000 6.181
6.313 -2.178 2.675
10.085 0.000 2.674
```

=====

Repeat the second record exactly.
Here is crystalline RbEr6Te8 at its relaxed geometry from Alexandria via LeMat-Bulk. Energies are from PBE.

Properties
spin magnetization = 0.28 Bohr magnetons per cell
ΔE_f (raw) = -1.2310 eV/atom

The structure in POSCAR format:
```
RbEr6Te8
1.0
5.986 3.456 4.770
-5.986 3.456 4.770
0.000 -6.912 4.770
Rb Er Te
1 6 8
Cartesian
0.000 0.000 0.000
-2.175 -0.101 5.580
1.174 -1.833 5.580
-1.000 -1.934 8.729
1.000 1.934 5.580
-1.174 1.833 8.729
2.175 0.101 8.729
-1.573 -3.139 5.961
0.000 0.000 3.559
-3.505 -0.207 8.349
-1.932 2.932 5.961
1.932 -2.932 8.349
3.505 0.207 5.961
0.000 0.000 10.751
1.573 3.139 8.349
```